VASP calculation (PBE-GGA) on crystalline Na5Nd4Si4O17 at its relaxed geometry.

Structure (POSCAR):
```
Na5Nd4Si4O17
1.0
8.927 0.014 0.000
-7.193 5.288 0.000
-0.867 -2.651 8.480
Na Si O Nd
5 4 17 4
direct
0.892 0.377 0.306 Na
0.623 0.929 0.515 Na
0.071 0.586 0.694 Na
0.414 0.108 0.485 Na
0.500 0.500 0.000 Na
0.761 0.614 0.351 Si
0.386 0.736 0.146 Si
0.590 0.239 0.854 Si
0.264 0.410 0.649 Si
0.274 0.021 0.818 O
0.427 0.917 0.278 O
0.359 0.332 0.565 O
0.668 0.233 0.027 O
0.767 0.536 0.864 O
0.672 0.903 0.136 O
0.083 0.362 0.510 O
0.544 0.726 0.747 O
0.464 0.328 0.231 O
0.097 0.233 0.769 O
0.767 0.794 0.435 O
0.979 0.796 0.253 O
0.204 0.456 0.182 O
0.638 0.148 0.722 O
0.000 0.000 0.000 O
0.852 0.573 0.490 O
0.206 0.641 0.973 O
0.860 0.794 0.702 Nd
0.092 0.159 0.298 Nd
0.206 0.908 0.066 Nd
0.841 0.140 0.934 Nd
```

## Properties
VASP energy: -7.151 eV/atom
Space group: I-4